[1]
A geometry-optimized MgScCr structure. Source: Alexandria via LeMat-Bulk, functional PBE.

Calculated values
* offset from the most stable computed form: 416 meV/atom
* SG: F-43m
* formation enthalpy at 0 K: 1.98 eV/f.u.

Unit cell a=4.6473 b=4.6473 c=4.6473 alpha=60.00 beta=60.00 gamma=60.00
Fractional positions:
Mg 0.0000 0.0000 0.0000
Sc 0.5000 0.5000 0.5000
Cr 0.2500 0.2500 0.2500

---

[2]
A geometry-optimized MnRhBr2 structure. Source: Alexandria via LeMat-Bulk, functional PBE.

Calculated values
* raw formation energy: 0.38 eV per atom
* offset from the most stable computed form: 525 meV/atom
* SG: P4/mmm

Unit cell a=4.6600 b=4.6600 c=3.4290 alpha=90.00 beta=90.00 gamma=90.00
Fractional positions:
Mn 0.0000 0.0000 0.0000
Rh 0.5000 0.5000 0.0000
Br 0.0000 0.5000 0.5000
Br 0.5000 0.0000 0.5000

---

[3]
A geometry-optimized Pr2Bi structure. Source: Alexandria via LeMat-Bulk, functional PBE.

Calculated values
* SG: I4/mmm
* formation enthalpy at 0 K: -1.63 eV/f.u.

Unit cell a=6.0671 b=6.0671 c=6.0671 alpha=138.71 beta=138.71 gamma=59.82
Fractional positions:
Pr 0.1547 0.1547 0.0000
Pr 0.8453 0.8453 0.0000
Bi 0.5000 0.5000 0.0000

---

| no. | V (Å³ per atom) | DOS at the Fermi energy (states/eV/cell) |
| --- | --- | --- |
| 1 | 23.66 | 2.55 |
| 2 | 18.62 | 3.20 |
| 3 | 32.09 | 3.38 |